Entry from the Alexandria database: crystalline Sr4CaYCo2Cu4O14 at its relaxed geometry (PBE with a Hubbard U).

a = 5.4397 Å, b = 5.4397 Å, c = 12.2239 Å
α = 102.91°, β = 102.91°, γ = 89.49°
Atoms (fractional coordinates):
Sr (0.1412, 0.1412, 0.3026)
Sr (0.3419, 0.3419, 0.7008)
Sr (0.6581, 0.6581, 0.2992)
Sr (0.8588, 0.8588, 0.6974)
Ca (0.5000, 0.5000, 0.0000)
Y (0.0000, 0.0000, 0.0000)
Co (0.3114, 0.6886, 0.5000)
Co (0.6886, 0.3114, 0.5000)
Cu (0.0724, 0.5712, 0.1445)
Cu (0.4288, 0.9276, 0.8555)
Cu (0.5712, 0.0724, 0.1445)
Cu (0.9276, 0.4288, 0.8555)
O (0.1579, 0.6911, 0.3522)
O (0.1805, 0.6896, 0.8691)
O (0.1825, 0.1825, 0.8737)
O (0.3089, 0.8421, 0.6478)
O (0.3096, 0.3096, 0.1317)
O (0.3104, 0.8195, 0.1309)
O (0.3288, 0.3288, 0.5016)
O (0.6712, 0.6712, 0.4984)
O (0.6896, 0.1805, 0.8691)
O (0.6904, 0.6904, 0.8683)
O (0.6911, 0.1579, 0.3522)
O (0.8175, 0.8175, 0.1263)
O (0.8195, 0.3104, 0.1309)
O (0.8421, 0.3089, 0.6478)

Calculated values
final energy	-6.119	eV/atom
crystal system	monoclinic
total moment	7.7	μB/f.u.